No. 1
The following is a DFT calculation (PBE) of an optimized crystal structure of Li2NiAs.

Geometry as POSCAR:
```
Li2NiAs
1.0
4.122 0.000 0.000
0.000 2.834 0.061
0.000 1.301 4.940
As Li Ni
1 2 1
Direct
0.500 0.573 0.730 As
0.000 0.953 0.972 Li
0.500 0.296 0.281 Li
0.000 0.678 0.518 Ni
```

Computed properties:
D(E_F) = 1.57 states/eV/cell
Formation energy from the elements = -1.2 eV per formula unit

No. 2
The following is a DFT calculation (PBE) of an optimized crystal structure of PmSm4Mg2.

Geometry as POSCAR:
```
PmSm4Mg2
1.0
5.628 0.000 0.000
2.814 4.874 0.000
2.814 1.625 8.936
Pm Sm Mg
1 4 2
Direct
0.500 0.500 0.500 Pm
0.744 0.744 0.767 Sm
0.871 0.871 0.387 Sm
0.256 0.256 0.233 Sm
0.129 0.129 0.613 Sm
0.623 0.623 0.131 Mg
0.377 0.377 0.869 Mg
```

Computed properties:
D(E_F) = 11.21 states/eV/cell
Formation energy from the elements = 2.0 eV per formula unit

No. 3
The following is a DFT calculation (PBE) of an optimized crystal structure of LiCuI2.

Geometry as POSCAR:
```
LiCuI2
1.0
4.157 0.000 0.000
2.079 3.600 0.000
2.079 1.200 6.766
I Cu Li
2 1 1
Direct
0.254 0.254 0.237 I
0.746 0.746 0.763 I
0.000 0.000 0.000 Cu
0.500 0.500 0.500 Li
```

Computed properties:
Polymorph energy (0 for the lowest one) = 0.1492 eV per atom

No. 4
The following is a DFT calculation (PBE) of an optimized crystal structure of Tm4HCS2.

Geometry as POSCAR:
```
Tm4HCS2
1.0
-0.911 2.217 -2.806
-5.805 0.569 2.334
3.616 4.699 2.539
Tm H C S
4 1 1 2
Direct
0.500 0.231 0.211 Tm
0.500 0.769 0.789 Tm
0.000 0.236 0.765 Tm
0.000 0.764 0.235 Tm
0.500 0.500 0.000 H
0.000 0.000 0.000 C
0.500 0.000 0.500 S
0.000 0.500 0.500 S
```

Computed properties:
D(E_F) = 2.02 states/eV/cell

No. 5
The following is a DFT calculation (PBE) of an optimized crystal structure of La2CePb.

Geometry as POSCAR:
```
La2CePb
1.0
5.655 0.000 0.000
2.828 4.897 0.000
2.828 1.632 4.617
Pb Ce La
1 1 2
Direct
0.500 0.500 0.500 Pb
0.000 0.000 0.000 Ce
0.250 0.250 0.250 La
0.750 0.750 0.750 La
```

Computed properties:
D(E_F) = 10.18 states/eV/cell
Formation energy from the elements = -0.5 eV per formula unit
Polymorph energy (0 for the lowest one) = 0.1926 eV per atom

No. 6
The following is a DFT calculation (PBE) of an optimized crystal structure of KTcW2.

Geometry as POSCAR:
```
KTcW2
1.0
5.950 0.002 -0.002
2.770 5.266 0.002
-3.453 -4.134 2.526
K Tc W
1 1 2
Direct
0.495 0.495 0.000 K
0.213 0.713 0.500 Tc
0.004 0.004 0.000 W
0.788 0.288 0.500 W
```

Computed properties:
D(E_F) = 4.85 states/eV/cell
Formation energy from the elements = 5.8 eV per formula unit
Polymorph energy (0 for the lowest one) = 0.6952 eV per atom

Computed values of total energy (unit: eV for the cell shown) for the preceding records, in sequence: -15.50, -24.85, -11.18, -48.49, -19.98, -31.56.